A PBEsol-optimized structure of Ba5Cr3O13, computed with meta-GGA SCAN.

abc: 10.3512 10.3512 7.8669
angles: 90.00 90.00 120.00
Space group P6_3 (No. 173)
One atom of each set of equivalent atoms:
Ba  0.0179  0.7761  0.0000 x6
Ba  0.3333  0.6667  0.2487 x2
Ba  0.3333  0.6667  0.7513 x2
Cr  0.0382  0.6298  0.5000 x6
O  0.0000  0.0000  0.4982 x2
O  0.0958  0.7397  0.3272 x6
O  0.0957  0.7396  0.6728 x6
O  0.1279  0.5319  0.4999 x6
O  0.1493  0.4819  0.0000 x6

Properties
formation energy (no corrections) = -2.70 eV/atom
spin magnetization = 0.095 μB per atom

A PBEsol-optimized structure of LiBe2CuMo, computed with meta-GGA SCAN.

abc: 3.787 3.787 4.104
angles: 90.00 90.00 90.00
Space group P4/mmm (No. 123)
One atom of each set of equivalent atoms:
Li  0.000  0.000  0.000 x1
Be  0.000  0.500  0.000 x2
Cu  0.500  0.500  0.500 x1
Mo  0.000  0.000  0.500 x1

Properties
spin magnetization = 0.000 μB per atom
calculated formation energy = 1.14 eV per atom

A PBEsol-optimized structure of CuBiW2O8, computed with meta-GGA SCAN.

abc: 5.014 6.036 6.137
angles: 109.19 91.87 113.12
Space group P1 (No. 1)
One atom of each set of equivalent atoms:
Cu  0.000  0.000  0.000 x1
Bi  0.510  0.006  0.508 x1
W  0.264  0.528  0.843 x1
W  0.754  0.483  0.173 x1
O  0.007  0.733  0.435 x1
O  0.014  0.280  0.579 x1
O  0.044  0.709  0.985 x1
O  0.477  0.315  0.845 x1
O  0.508  0.253  0.281 x1
O  0.515  0.760  0.738 x1
O  0.540  0.695  0.172 x1
O  0.972  0.302  0.029 x1

Properties
formation energy (no corrections) = -1.81 eV/atom
spin magnetization = 0.000 μB per atom

Question: Among the records above, which one has the highest spin magnetization?
Answer: Ba5Cr3O13